# PBE Bi3Pd2Rh5S2, optimized geometry
# VASP energy ... -5.78 eV per atom
# Space group ... I4/mmm (139)
# Formation energy without anion corrections ... -0.191 eV per atom
# Total magnetization ... 0.000 μB per atom
data_Bi3Pd2Rh5S2
_cell_length_a 14.1250
_cell_length_b 14.1250
_cell_length_c 14.1250
_cell_angle_alpha 163.81
_cell_angle_beta 163.81
_cell_angle_gamma 22.97
_space_group_name_H-M_alt 'P 1'
_space_group_IT_number 1
_space_group_name_Hall 'P 1'
loop_
_atom_site_label
_atom_site_type_symbol
_atom_site_fract_x
_atom_site_fract_y
_atom_site_fract_z
Bi1 Bi 0.0000 0.0000 0.0000
Bi2 Bi 0.1856 0.1856 0.0000
Bi3 Bi 0.8144 0.8144 0.0000
Pd1 Pd 0.2837 0.2837 0.0000
Pd2 Pd 0.7163 0.7163 0.0000
Rh1 Rh 0.0773 0.5773 0.5000
Rh2 Rh 0.4227 0.9227 0.5000
Rh3 Rh 0.5000 0.5000 0.0000
Rh4 Rh 0.5773 0.0773 0.5000
Rh5 Rh 0.9227 0.4227 0.5000
S1 S 0.3794 0.3794 0.0000
S2 S 0.6206 0.6206 0.0000